Arrangement A

This record from the Alexandria database describes a relaxed K2SbPb crystal. The functional is PBE.

Output
The density of states at the Fermi level comes out at 3.5 states/eV/cell.

Unit cell a=4.170 b=4.170 c=9.998 alpha=90.00 beta=90.00 gamma=90.00
Atoms (fractional coordinates):
1 K 0.000 0.000 0.000
2 K 0.500 0.500 0.404
3 Sb 0.500 0.500 0.770
4 Pb 0.000 0.000 0.641



Arrangement B

This record from the Alexandria database describes a relaxed K2SbPb crystal. The functional is PBE.

Output
The density of states at the Fermi level comes out at 3.9 states/eV/cell.

Unit cell a=6.538 b=6.538 c=6.538 alpha=135.10 beta=135.10 gamma=65.38
Atoms (fractional coordinates):
1 K 0.250 0.750 0.500
2 K 0.750 0.250 0.500
3 Sb 0.000 0.000 0.000
4 Pb 0.500 0.500 0.000



Pick arrangement B: it beats the second-best structure by 23 meV per atom.



Arrangement A

This record from the Alexandria database describes a relaxed K2SbPb crystal. The functional is PBE.

Output
The density of states at the Fermi level comes out at 1.7 states/eV/cell.

Unit cell a=3.387 b=5.593 c=7.104 alpha=90.00 beta=90.45 gamma=90.00
Atoms (fractional coordinates):
1 K 0.002 0.000 0.238
2 K 0.998 0.000 0.762
3 Sb 0.500 0.500 0.000
4 Pb 0.500 0.500 0.500



Arrangement B

This record from the Alexandria database describes a relaxed K2SbPb crystal. The functional is PBE.

Output
The density of states at the Fermi level comes out at 4.2 states/eV/cell.

Unit cell a=5.871 b=5.871 c=5.871 alpha=60.00 beta=60.00 gamma=60.00
Atoms (fractional coordinates):
1 K 0.250 0.250 0.250
2 K 0.750 0.750 0.750
3 Sb 0.000 0.000 0.000
4 Pb 0.500 0.500 0.500



Arrangement C

This record from the Alexandria database describes a relaxed K2SbPb crystal. The functional is PBE.

Output
The density of states at the Fermi level comes out at 2.0 states/eV/cell.

Unit cell a=6.888 b=6.888 c=6.888 alpha=141.84 beta=129.72 gamma=64.83
Atoms (fractional coordinates):
1 K 0.000 0.000 0.000
2 K 0.711 0.211 0.500
3 Sb 0.447 0.447 0.000
4 Pb 0.278 0.778 0.500



Arrangement D

This record from the Alexandria database describes a relaxed K2SbPb crystal. The functional is PBE.

Output
The density of states at the Fermi level comes out at 2.4 states/eV/cell.

Unit cell a=6.639 b=6.639 c=3.380 alpha=90.00 beta=90.00 gamma=115.30
Atoms (fractional coordinates):
1 K 0.000 0.500 0.000
2 K 0.500 0.000 0.000
3 Sb 0.000 0.000 0.500
4 Pb 0.500 0.500 0.500



Pick arrangement C: it beats the second-best structure by 118 meV per atom.



Arrangement A

This record from the Alexandria database describes a relaxed K2SbPb crystal. The functional is PBE.

Output
The density of states at the Fermi level comes out at 2.9 states/eV/cell.

Unit cell a=6.159 b=6.159 c=6.870 alpha=96.52 beta=96.52 gamma=32.98
Atoms (fractional coordinates):
1 K 0.244 0.244 0.235
2 K 0.756 0.756 0.765
3 Sb 0.500 0.500 0.000
4 Pb 0.000 0.000 0.500



Arrangement B

This record from the Alexandria database describes a relaxed K2SbPb crystal. The functional is PBE.

Output
The density of states at the Fermi level comes out at 1.0 states/eV/cell.

Unit cell a=7.069 b=7.069 c=6.407 alpha=104.36 beta=104.36 gamma=28.91
Atoms (fractional coordinates):
1 K 0.000 0.000 0.000
2 K 0.719 0.719 0.581
3 Sb 0.447 0.447 0.480
4 Pb 0.273 0.273 0.106



Pick arrangement B: it beats the second-best structure by 171 meV per atom.



Arrangement A

This record from the Alexandria database describes a relaxed K2SbPb crystal. The functional is PBE.

Output
The density of states at the Fermi level comes out at 3.9 states/eV/cell.

Unit cell a=4.539 b=4.539 c=7.023 alpha=90.00 beta=90.00 gamma=90.00
Atoms (fractional coordinates):
1 K 0.000 0.000 0.236
2 K 0.000 0.000 0.764
3 Sb 0.500 0.500 0.000
4 Pb 0.500 0.500 0.500



Arrangement B

This record from the Alexandria database describes a relaxed K2SbPb crystal. The functional is PBE.

Output
The density of states at the Fermi level comes out at 1.7 states/eV/cell.

Unit cell a=6.089 b=6.089 c=6.089 alpha=126.43 beta=126.43 gamma=79.18
Atoms (fractional coordinates):
1 K 0.000 0.000 0.000
2 K 0.750 0.250 0.500
3 Sb 0.500 0.500 0.000
4 Pb 0.250 0.750 0.500



Arrangement C

This record from the Alexandria database describes a relaxed K2SbPb crystal. The functional is PBE.

Output
The density of states at the Fermi level comes out at 6.1 states/eV/cell.

Unit cell a=7.813 b=7.813 c=7.813 alpha=99.26 beta=99.26 gamma=132.70
Atoms (fractional coordinates):
1 K 0.092 0.125 0.467
2 K 0.375 0.908 0.033
3 K 0.658 0.625 0.533
4 K 0.875 0.342 0.967
5 Sb 0.000 0.000 0.000
6 Sb 0.750 0.250 0.500
7 Pb 0.250 0.750 0.500
8 Pb 0.500 0.500 0.000



Pick arrangement B: it beats the second-best structure by 112 meV per atom.



Arrangement A

This record from the Alexandria database describes a relaxed K2SbPb crystal. The functional is PBE.

Output
The density of states at the Fermi level comes out at 1.3 states/eV/cell.

Unit cell a=3.751 b=5.656 c=6.653 alpha=90.00 beta=90.38 gamma=90.00
Atoms (fractional coordinates):
1 K 0.000 0.000 0.000
2 K 0.011 0.500 0.670
3 Sb 0.507 0.000 0.463
4 Pb 0.504 0.500 0.216



Arrangement B

This record from the Alexandria database describes a relaxed K2SbPb crystal. The functional is PBE.

Output
The density of states at the Fermi level comes out at 2.6 states/eV/cell.

Unit cell a=12.084 b=12.084 c=12.084 alpha=17.59 beta=17.59 gamma=17.59
Atoms (fractional coordinates):
1 K 0.245 0.245 0.245
2 K 0.755 0.755 0.755
3 Sb 0.500 0.500 0.500
4 Pb 0.000 0.000 0.000



Arrangement C

This record from the Alexandria database describes a relaxed K2SbPb crystal. The functional is PBE.

Output
The density of states at the Fermi level comes out at 2.0 states/eV/cell.

Unit cell a=6.864 b=6.864 c=6.021 alpha=115.92 beta=115.92 gamma=48.48
Atoms (fractional coordinates):
1 K 0.000 0.000 0.000
2 K 0.634 0.634 0.634
3 Sb 0.317 0.317 0.613
4 Pb 0.317 0.317 0.116



Pick arrangement A: it beats the second-best structure by 54 meV per atom.



Arrangement A

This record from the Alexandria database describes a relaxed K3SbPb crystal. The functional is PBE.

Output
The density of states at the Fermi level comes out at 10.2 states/eV/cell.

Unit cell a=6.676 b=6.676 c=6.676 alpha=90.00 beta=90.00 gamma=90.00
Atoms (fractional coordinates):
1 K 0.000 0.000 0.500
2 K 0.000 0.500 0.000
3 K 0.500 0.000 0.000
4 Sb 0.000 0.000 0.000
5 Pb 0.500 0.500 0.500



Arrangement B

This record from the Alexandria database describes a relaxed K3SbPb crystal. The functional is PBE.

Output
The density of states at the Fermi level comes out at 6.2 states/eV/cell.

Unit cell a=8.670 b=8.670 c=8.670 alpha=91.09 beta=110.20 gamma=129.47
Atoms (fractional coordinates):
1 K 0.248 0.017 0.265
2 K 0.248 0.483 0.731
3 K 0.713 0.498 0.715
4 K 0.752 0.517 0.269
5 K 0.752 0.983 0.735
6 K 0.782 0.998 0.285
7 Sb 0.147 0.999 0.648
8 Sb 0.351 0.499 0.352
9 Pb 0.061 0.500 0.061
10 Pb 0.440 0.000 0.939



Pick arrangement B: it beats the second-best structure by 293 meV per atom.



Arrangement A

This record from the Alexandria database describes a relaxed KSb2Pb2 crystal. The functional is PBE.

Output
The density of states at the Fermi level comes out at 4.6 states/eV/cell.

Unit cell a=7.114 b=7.114 c=7.114 alpha=132.99 beta=132.99 gamma=68.68
Atoms (fractional coordinates):
1 K 0.000 0.000 0.000
2 Sb 0.250 0.750 0.500
3 Sb 0.750 0.250 0.500
4 Pb 0.362 0.362 0.000
5 Pb 0.638 0.638 0.000



Arrangement B

This record from the Alexandria database describes a relaxed KSb2Pb2 crystal. The functional is PBE.

Output
The density of states at the Fermi level comes out at 2.6 states/eV/cell.

Unit cell a=11.143 b=11.143 c=11.143 alpha=22.99 beta=22.99 gamma=22.99
Atoms (fractional coordinates):
1 K 0.000 0.000 0.000
2 Sb 0.411 0.411 0.411
3 Sb 0.589 0.589 0.589
4 Pb 0.207 0.207 0.207
5 Pb 0.793 0.793 0.793



Pick arrangement B: it beats the second-best structure by 49 meV per atom.



Arrangement A

This record from the Alexandria database describes a relaxed KSb2Pb2 crystal. The functional is PBE.

Output
The density of states at the Fermi level comes out at 3.7 states/eV/cell.

Unit cell a=9.177 b=9.177 c=3.973 alpha=90.00 beta=90.00 gamma=90.00
Atoms (fractional coordinates):
1 K 0.000 0.000 0.000
2 K 0.500 0.500 0.000
3 Sb 0.155 0.345 0.500
4 Sb 0.345 0.845 0.500
5 Sb 0.655 0.155 0.500
6 Sb 0.845 0.655 0.500
7 Pb 0.130 0.630 0.000
8 Pb 0.370 0.130 0.000
9 Pb 0.630 0.870 0.000
10 Pb 0.870 0.370 0.000



Arrangement B

This record from the Alexandria database describes a relaxed KSb2Pb2 crystal. The functional is PBE.

Output
The density of states at the Fermi level comes out at 3.0 states/eV/cell.

Unit cell a=7.850 b=7.850 c=7.850 alpha=141.20 beta=141.20 gamma=56.03
Atoms (fractional coordinates):
1 K 0.000 0.000 0.000
2 Sb 0.387 0.387 0.000
3 Sb 0.613 0.613 0.000
4 Pb 0.250 0.750 0.500
5 Pb 0.750 0.250 0.500



Arrangement C

This record from the Alexandria database describes a relaxed KSb2Pb2 crystal. The functional is PBE.

Output
The density of states at the Fermi level comes out at 1.8 states/eV/cell.

Unit cell a=7.215 b=7.215 c=7.215 alpha=45.03 beta=45.03 gamma=45.03
Atoms (fractional coordinates):
1 K 0.000 0.000 0.000
2 Sb 0.425 0.425 0.425
3 Sb 0.575 0.575 0.575
4 Pb 0.207 0.207 0.207
5 Pb 0.793 0.793 0.793



Pick arrangement B: it beats the second-best structure by 38 meV per atom.